An optimized crystal structure of HoMg2ScHg4. Source: the Alexandria database, functional GGA-PBE.

Calculated values
- E_tot: -2.3325 eV/atom
- Spin magnetization: 0.00 μB per atom
- ΔH_f (0 K): -3.35 eV per formula unit

Structure (CIF):
```
data_HoMg2ScHg4
_chemical_formula_sum 'Ho1 Mg2 Sc1 Hg4'
_cell_length_a 4.984
_cell_length_b 4.984
_cell_length_c 8.667
_cell_angle_alpha 73.29
_cell_angle_beta 73.29
_cell_angle_gamma 60.00
_space_group_name_H-M_alt 'P 1'
_space_group_IT_number 1
_space_group_name_Hall 'P 1'
loop_
_atom_site_label
_atom_site_type_symbol
_atom_site_fract_x
_atom_site_fract_y
_atom_site_fract_z
_atom_site_occupancy
Ho1 Ho 0.000 0.000 0.000 1
Mg1 Mg 0.750 0.750 0.749 1
Mg2 Mg 0.250 0.250 0.251 1
Sc1 Sc 0.500 0.500 0.500 1
Hg1 Hg 0.378 0.378 0.865 1
Hg2 Hg 0.873 0.873 0.382 1
Hg3 Hg 0.127 0.127 0.618 1
Hg4 Hg 0.622 0.622 0.135 1
```

=====

An optimized crystal structure of TbDyTh2Sb5. Source: the Alexandria database, functional GGA-PBE.

Calculated values
- Energy relative to the elements, uncorrected: -1.52 eV/f.u.
- E_tot: -5.1336 eV/atom
- Spin magnetization: 0.00 μB per atom

Structure (CIF):
```
data_TbDyTh2Sb5
_chemical_formula_sum 'Tb1 Dy1 Th2 Sb5'
_cell_length_a 5.274
_cell_length_b 5.274
_cell_length_c 11.477
_cell_angle_alpha 90.00
_cell_angle_beta 90.00
_cell_angle_gamma 90.00
_space_group_name_H-M_alt 'P 1'
_space_group_IT_number 1
_space_group_name_Hall 'P 1'
loop_
_atom_site_label
_atom_site_type_symbol
_atom_site_fract_x
_atom_site_fract_y
_atom_site_fract_z
_atom_site_occupancy
Tb1 Tb 0.000 0.000 0.500 1
Dy1 Dy 0.000 0.000 0.000 1
Th1 Th 0.500 0.500 0.300 1
Th2 Th 0.500 0.500 0.700 1
Sb1 Sb 0.000 0.500 0.500 1
Sb2 Sb 0.500 0.000 0.500 1
Sb3 Sb 0.000 0.000 0.753 1
Sb4 Sb 0.000 0.000 0.247 1
Sb5 Sb 0.500 0.500 0.000 1
```

=====

An optimized crystal structure of Ba2NaSr6Ir. Source: the Alexandria database, functional GGA-PBE.

Calculated values
- E_tot: -2.4535 eV/atom
- Spin magnetization: 0.00 μB per atom
- ΔH_f (0 K): -0.42 eV per formula unit

Structure (CIF):
```
data_Ba2NaSr6Ir
_chemical_formula_sum 'Ba4 Na2 Sr12 Ir2'
_cell_length_a 9.069
_cell_length_b 9.046
_cell_length_c 12.809
_cell_angle_alpha 90.00
_cell_angle_beta 89.66
_cell_angle_gamma 90.00
_space_group_name_H-M_alt 'P 1'
_space_group_IT_number 1
_space_group_name_Hall 'P 1'
loop_
_atom_site_label
_atom_site_type_symbol
_atom_site_fract_x
_atom_site_fract_y
_atom_site_fract_z
_atom_site_occupancy
Ba1 Ba 0.003 0.000 0.251 1
Ba2 Ba 0.503 0.500 0.751 1
Ba3 Ba 0.997 0.000 0.749 1
Ba4 Ba 0.497 0.500 0.249 1
Na1 Na 0.500 0.000 0.000 1
Na2 Na 0.000 0.500 0.500 1
Sr1 Sr 0.227 0.728 0.999 1
Sr2 Sr 0.727 0.772 0.499 1
Sr3 Sr 0.773 0.272 0.001 1
Sr4 Sr 0.273 0.228 0.501 1
Sr5 Sr 0.273 0.772 0.501 1
Sr6 Sr 0.773 0.728 0.001 1
Sr7 Sr 0.727 0.228 0.499 1
Sr8 Sr 0.227 0.272 0.999 1
Sr9 Sr 0.998 0.500 0.227 1
Sr10 Sr 0.498 0.000 0.727 1
Sr11 Sr 0.002 0.500 0.773 1
Sr12 Sr 0.502 0.000 0.273 1
Ir1 Ir 0.500 0.000 0.500 1
Ir2 Ir 0.000 0.500 0.000 1
```

=====

An optimized crystal structure of BaAgSn2Pd. Source: the Alexandria database, functional GGA-PBE.

Calculated values
- E_tot: -4.1185 eV/atom
- Spin magnetization: 0.00 μB per atom
- ΔH_f (0 K): -2.62 eV per formula unit

Structure (CIF):
```
data_BaAgSn2Pd
_chemical_formula_sum 'Ba1 Ag1 Sn2 Pd1'
_cell_length_a 4.870
_cell_length_b 4.870
_cell_length_c 6.576
_cell_angle_alpha 111.73
_cell_angle_beta 111.73
_cell_angle_gamma 90.00
_space_group_name_H-M_alt 'P 1'
_space_group_IT_number 1
_space_group_name_Hall 'P 1'
loop_
_atom_site_label
_atom_site_type_symbol
_atom_site_fract_x
_atom_site_fract_y
_atom_site_fract_z
_atom_site_occupancy
Ba1 Ba 0.000 0.000 0.000 1
Ag1 Ag 0.250 0.750 0.500 1
Sn1 Sn 0.633 0.633 0.266 1
Sn2 Sn 0.367 0.367 0.734 1
Pd1 Pd 0.750 0.250 0.500 1
```

=====

An optimized crystal structure of CeNdYPb. Source: the Alexandria database, functional GGA-PBE.

Calculated values
- E_tot: -5.2997 eV/atom
- Spin magnetization: 0.15 μB per atom
- ΔH_f (0 K): -0.32 eV per formula unit

Structure (CIF):
```
data_CeNdYPb
_chemical_formula_sum 'Ce1 Nd1 Y1 Pb1'
_cell_length_a 5.518
_cell_length_b 5.518
_cell_length_c 5.518
_cell_angle_alpha 60.00
_cell_angle_beta 60.00
_cell_angle_gamma 60.00
_space_group_name_H-M_alt 'P 1'
_space_group_IT_number 1
_space_group_name_Hall 'P 1'
loop_
_atom_site_label
_atom_site_type_symbol
_atom_site_fract_x
_atom_site_fract_y
_atom_site_fract_z
_atom_site_occupancy
Pb1 Pb 0.000 0.000 0.000 1
Y1 Y 0.750 0.750 0.750 1
Nd1 Nd 0.250 0.250 0.250 1
Ce1 Ce 0.500 0.500 0.500 1
```

=====

An optimized crystal structure of Tb4Th3Sc2. Source: the Alexandria database, functional GGA-PBE.

Calculated values
- E_tot: -5.8337 eV/atom
- Spin magnetization: 0.00 μB per atom
- Distance to the lowest polymorph of the same formula: 0 meV/atom
- ΔH_f (0 K): 0.94 eV per formula unit

Structure (CIF):
```
data_Tb4Th3Sc2
_chemical_formula_sum 'Tb4 Th3 Sc2'
_cell_length_a 3.504
_cell_length_b 3.504
_cell_length_c 25.992
_cell_angle_alpha 90.00
_cell_angle_beta 90.00
_cell_angle_gamma 120.00
_space_group_name_H-M_alt 'P 1'
_space_group_IT_number 1
_space_group_name_Hall 'P 1'
loop_
_atom_site_label
_atom_site_type_symbol
_atom_site_fract_x
_atom_site_fract_y
_atom_site_fract_z
_atom_site_occupancy
Tb1 Tb 0.000 0.000 0.545 1
Tb2 Tb 0.667 0.333 0.432 1
Tb3 Tb 0.667 0.333 0.208 1
Tb4 Tb 0.000 0.000 0.772 1
Th1 Th 0.000 0.000 0.983 1
Th2 Th 0.000 0.000 0.318 1
Th3 Th 0.667 0.333 0.658 1
Sc1 Sc 0.667 0.333 0.086 1
Sc2 Sc 0.667 0.333 0.875 1
```

=====

An optimized crystal structure of BPbI2N. Source: the Alexandria database, functional GGA-PBE.

Calculated values
- Energy relative to the elements, uncorrected: 8.18 eV/f.u.
- E_tot: -2.7258 eV/atom
- Spin magnetization: 0.28 μB per atom
- Distance to the lowest polymorph of the same formula: 1533 meV/atom

Structure (CIF):
```
data_BPbI2N
_chemical_formula_sum 'B1 Pb1 I2 N1'
_cell_length_a 6.274
_cell_length_b 6.274
_cell_length_c 4.642
_cell_angle_alpha 90.00
_cell_angle_beta 90.00
_cell_angle_gamma 90.00
_space_group_name_H-M_alt 'P 1'
_space_group_IT_number 1
_space_group_name_Hall 'P 1'
loop_
_atom_site_label
_atom_site_type_symbol
_atom_site_fract_x
_atom_site_fract_y
_atom_site_fract_z
_atom_site_occupancy
Pb1 Pb 0.000 0.000 0.000 1
I1 I 0.000 0.500 0.000 1
I2 I 0.500 0.000 0.000 1
B1 B 0.500 0.500 0.500 1
N1 N 0.000 0.000 0.500 1
```

=====

An optimized crystal structure of Tb2ThRu3. Source: the Alexandria database, functional GGA-PBE.

Calculated values
- E_tot: -7.8102 eV/atom
- Spin magnetization: 0.00 μB per atom
- Distance to the lowest polymorph of the same formula: 0 meV/atom
- ΔH_f (0 K): -2.35 eV per formula unit

Structure (CIF):
```
data_Tb2ThRu3
_chemical_formula_sum 'Tb2 Th1 Ru3'
_cell_length_a 4.887
_cell_length_b 4.887
_cell_length_c 6.010
_cell_angle_alpha 90.00
_cell_angle_beta 90.00
_cell_angle_gamma 120.00
_space_group_name_H-M_alt 'P 1'
_space_group_IT_number 1
_space_group_name_Hall 'P 1'
loop_
_atom_site_label
_atom_site_type_symbol
_atom_site_fract_x
_atom_site_fract_y
_atom_site_fract_z
_atom_site_occupancy
Tb1 Tb 0.667 0.333 0.343 1
Tb2 Tb 0.333 0.667 0.657 1
Th1 Th 0.000 0.000 0.000 1
Ru1 Ru 0.000 0.000 0.500 1
Ru2 Ru 0.667 0.333 0.843 1
Ru3 Ru 0.333 0.667 0.157 1
```

=====

An optimized crystal structure of Cs3IBr6. Source: the Alexandria database, functional GGA-PBE.

Calculated values
- Energy relative to the elements, uncorrected: -9.91 eV/f.u.
- E_tot: -2.4058 eV/atom
- Spin magnetization: 0.00 μB per atom
- Distance to the lowest polymorph of the same formula: 111 meV/atom

Structure (CIF):
```
data_Cs3IBr6
_chemical_formula_sum 'Cs3 I1 Br6'
_cell_length_a 8.521
_cell_length_b 8.521
_cell_length_c 9.495
_cell_angle_alpha 63.34
_cell_angle_beta 63.34
_cell_angle_gamma 90.00
_space_group_name_H-M_alt 'P 1'
_space_group_IT_number 1
_space_group_name_Hall 'P 1'
loop_
_atom_site_label
_atom_site_type_symbol
_atom_site_fract_x
_atom_site_fract_y
_atom_site_fract_z
_atom_site_occupancy
Cs1 Cs 0.750 0.250 0.500 1
Cs2 Cs 0.250 0.750 0.500 1
Cs3 Cs 0.000 0.000 0.000 1
I1 I 0.500 0.500 0.000 1
Br1 Br 0.235 0.235 0.529 1
Br2 Br 0.765 0.765 0.471 1
Br3 Br 0.278 0.278 0.000 1
Br4 Br 0.722 0.722 0.000 1
Br5 Br 0.722 0.278 0.000 1
Br6 Br 0.278 0.722 0.000 1
```

=====

An optimized crystal structure of Sr2CdSbP. Source: the Alexandria database, functional GGA-PBE.

Calculated values
- Energy relative to the elements, uncorrected: -4.23 eV/f.u.
- E_tot: -3.6072 eV/atom
- Spin magnetization: 0.00 μB per atom

Structure (CIF):
```
data_Sr2CdSbP
_chemical_formula_sum 'Sr4 Cd2 Sb2 P2'
_cell_length_a 4.530
_cell_length_b 8.038
_cell_length_c 9.339
_cell_angle_alpha 105.82
_cell_angle_beta 90.00
_cell_angle_gamma 90.00
_space_group_name_H-M_alt 'P 1'
_space_group_IT_number 1
_space_group_name_Hall 'P 1'
loop_
_atom_site_label
_atom_site_type_symbol
_atom_site_fract_x
_atom_site_fract_y
_atom_site_fract_z
_atom_site_occupancy
Sr1 Sr 0.750 0.831 0.611 1
Sr2 Sr 0.750 0.791 0.036 1
Sr3 Sr 0.250 0.169 0.389 1
Sr4 Sr 0.250 0.209 0.964 1
Cd1 Cd 0.250 0.510 0.730 1
Cd2 Cd 0.750 0.490 0.270 1
Sb1 Sb 0.250 0.712 0.308 1
Sb2 Sb 0.750 0.288 0.692 1
P1 P 0.250 0.831 0.826 1
P2 P 0.750 0.169 0.174 1
```

=====

An optimized crystal structure of V2Ru8W. Source: the Alexandria database, functional GGA-PBE.

Calculated values
- E_tot: -9.6144 eV/atom
- Spin magnetization: 0.00 μB per atom
- ΔH_f (0 K): -0.36 eV per formula unit

Structure (CIF):
```
data_V2Ru8W
_chemical_formula_sum 'V2 Ru8 W1'
_cell_length_a 3.835
_cell_length_b 6.113
_cell_length_c 7.147
_cell_angle_alpha 105.49
_cell_angle_beta 105.56
_cell_angle_gamma 90.00
_space_group_name_H-M_alt 'P 1'
_space_group_IT_number 1
_space_group_name_Hall 'P 1'
loop_
_atom_site_label
_atom_site_type_symbol
_atom_site_fract_x
_atom_site_fract_y
_atom_site_fract_z
_atom_site_occupancy
V1 V 0.228 0.651 0.456 1
V2 V 0.772 0.349 0.544 1
Ru1 Ru 0.592 0.461 0.184 1
Ru2 Ru 0.317 0.093 0.634 1
Ru3 Ru 0.140 0.187 0.280 1
Ru4 Ru 0.044 0.721 0.088 1
Ru5 Ru 0.860 0.813 0.720 1
Ru6 Ru 0.683 0.907 0.366 1
Ru7 Ru 0.408 0.539 0.816 1
Ru8 Ru 0.956 0.279 0.912 1
W1 W 0.500 0.000 0.000 1
```

=====

An optimized crystal structure of Hf2AsPbW. Source: the Alexandria database, functional GGA-PBE.

Calculated values
- E_tot: -6.2257 eV/atom
- Spin magnetization: 0.17 μB per atom
- ΔH_f (0 K): 10.09 eV per formula unit

Structure (CIF):
```
data_Hf2AsPbW
_chemical_formula_sum 'Hf2 As1 Pb1 W1'
_cell_length_a 5.356
_cell_length_b 5.356
_cell_length_c 5.137
_cell_angle_alpha 90.00
_cell_angle_beta 90.00
_cell_angle_gamma 90.00
_space_group_name_H-M_alt 'P 1'
_space_group_IT_number 1
_space_group_name_Hall 'P 1'
loop_
_atom_site_label
_atom_site_type_symbol
_atom_site_fract_x
_atom_site_fract_y
_atom_site_fract_z
_atom_site_occupancy
Pb1 Pb 0.000 0.000 0.000 1
As1 As 0.500 0.500 0.500 1
Hf1 Hf 0.000 0.500 0.000 1
Hf2 Hf 0.500 0.000 0.000 1
W1 W 0.000 0.000 0.500 1
```